Below is an optimized crystal structure of Ac2Sm5Ho12, with properties calculated at the PBE level.

It has space group P-1 (No. 2), with a = 6.7603 Å, b = 8.8586 Å, c = 11.9350 Å, α = 77.13°, β = 76.80° and γ = 67.60°. The asymmetric unit holds Ac at (0.1804, 0.0410, 0.3644), Sm at (0.0687, 0.2935, 0.0397), Sm at (0.2224, 0.5715, 0.4972), Sm at (0.5000, 0.5000, 0.0000), Ho at (0.1131, 0.8882, 0.1248), Ho at (0.1173, 0.4988, 0.2435), Ho at (0.2441, 0.1740, 0.6175), Ho at (0.4011, 0.7621, 0.6685), Ho at (0.4299, 0.3649, 0.7628) and Ho at (0.4301, 0.9638, 0.8813).

As for the crystal system: triclinic. Its calculated volume is 636.0 Å³/cell. The calculation puts the total DFT energy (no corrections) at -85.1 eV per formula unit.

Below is an optimized crystal structure of Cd2HgOs, with properties calculated at the PBE level.

It has space group Imm2 (No. 44), with a = 2.8446 Å, b = 4.7665 Å, c = 13.0756 Å, α = 90.00°, β = 90.00° and γ = 90.00°. The asymmetric unit holds Cd at (0.0000, 0.0000, 0.0000), Cd at (0.0000, 0.5000, 0.1811), Hg at (0.0000, 0.5000, 0.8069) and Os at (0.0000, 0.0000, 0.4955).

As for the crystal system: orthorhombic. Its calculated volume is 177.3 Å³/cell. The calculation puts the total DFT energy (no corrections) at -11.5 eV per formula unit.

Below is an optimized crystal structure of SnHBr2, with properties calculated at the PBE level.

It has space group R-3m (No. 166, hexagonal axes), with a = 3.5657 Å, b = 3.5657 Å, c = 24.8905 Å, α = 90.00°, β = 90.00° and γ = 120.00°. The asymmetric unit holds Sn at (0.0000, 0.0000, 0.0000), H at (0.0000, 0.0000, 0.5000) and Br at (0.0000, 0.0000, 0.1124).

As for the crystal system: trigonal. Its calculated volume is 274.1 Å³/cell. The calculation puts the total DFT energy (no corrections) at -9.5 eV per formula unit.

Below is an optimized crystal structure of BaSr2Ag, with properties calculated at the PBE level.

It has space group R3m (No. 160, hexagonal axes), with a = 4.5106 Å, b = 4.5106 Å, c = 33.2219 Å, α = 90.00°, β = 90.00° and γ = 120.00°. The asymmetric unit holds Ba at (0.0000, 0.0000, 0.0000), Sr at (0.0000, 0.0000, 0.5561), Sr at (0.0000, 0.0000, 0.7761) and Ag at (0.0000, 0.0000, 0.1659).

As for the crystal system: trigonal. Its calculated volume is 585.4 Å³/cell. The calculation puts the total DFT energy (no corrections) at -8.5 eV per formula unit. For the energy relative to the lowest polymorph listed for this composition, the calculation gives 59.5 meV/atom.

Below is an optimized crystal structure of VCo, with properties calculated at the PBE level.

It has space group P4_2/mnm (No. 136), with a = 4.7264 Å, b = 4.7264 Å, c = 4.5904 Å, α = 90.00°, β = 90.00° and γ = 90.00°. The asymmetric unit holds V at (0.2036, 0.2036, 0.0000) and Co at (0.1922, 0.1922, 0.5000).

As for the crystal system: tetragonal. Its calculated volume is 102.5 Å³/cell. The calculation puts the total DFT energy (no corrections) at -15.5 eV per formula unit.

Below is an optimized crystal structure of Tb8Pm2Nd3, with properties calculated at the PBE level.

It has space group P-1 (No. 2), with a = 6.2387 Å, b = 6.2464 Å, c = 11.3889 Å, α = 89.97°, β = 79.46° and γ = 80.40°. The asymmetric unit holds Tb at (0.0377, 0.0758, 0.3446), Tb at (0.1920, 0.3854, 0.7325), Tb at (0.3466, 0.6925, 0.1147), Tb at (0.4235, 0.8468, 0.8088), Pm at (0.1156, 0.2309, 0.0382), Nd at (0.2690, 0.5382, 0.4220) and Nd at (0.5000, 0.0000, 0.5000).

As for the crystal system: triclinic. Its calculated volume is 430.0 Å³/cell. The calculation puts the total DFT energy (no corrections) at -60.6 eV per formula unit. For the energy relative to the lowest polymorph listed for this composition, the calculation gives 0.0 meV/atom.

Below is an optimized crystal structure of TmHg2Te, with properties calculated at the PBE level.

It has space group R-3m (No. 166, hexagonal axes), with a = 3.4764 Å, b = 3.4764 Å, c = 34.1496 Å, α = 90.00°, β = 90.00° and γ = 120.00°. The asymmetric unit holds Tm at (0.0000, 0.0000, 0.0000), Hg at (0.0000, 0.0000, 0.0874) and Te at (0.0000, 0.0000, 0.5000).

As for the crystal system: trigonal. Its calculated volume is 357.4 Å³/cell. Its uncorrected formation energy is 0.1159 eV per atom. The calculation puts the total DFT energy (no corrections) at -7.8 eV per formula unit.

Below is an optimized crystal structure of Hf2AsRhBr, with properties calculated at the PBE level.

It has space group P4/mmm (No. 123), with a = 5.0723 Å, b = 5.0723 Å, c = 4.5129 Å, α = 90.00°, β = 90.00° and γ = 90.00°. The asymmetric unit holds Hf at (0.0000, 0.5000, 0.0000), As at (0.0000, 0.0000, 0.0000), Rh at (0.0000, 0.0000, 0.5000) and Br at (0.5000, 0.5000, 0.5000).

As for the crystal system: tetragonal. Its calculated volume is 116.1 Å³/cell. Its uncorrected formation energy is 0.3067 eV per atom. The calculation puts the total DFT energy (no corrections) at -32.0 eV per formula unit.